VASP calculation (PBE) on a relaxed CePmGeOs crystal.

Computed properties:
density of states at the Fermi level	3.1	states/eV/f.u.
total moment	0.000	μB/f.u.
space-group type	No. 38
density	9.7	g cm⁻³
ΔE_f	-0.515	eV/atom

Lattice parameters (Å, degrees): 4.1417 3.9219 6.1397 90.00 109.71 90.00
Positions (direct):
Ge: 0.4327 0.0000 0.8654
Os: 0.5855 0.5000 0.1710
Ce: 0.1287 0.0000 0.2574
Pm: 0.8531 0.5000 0.7062


VASP calculation (PBE) on a relaxed CePmGeOs crystal.

Computed properties:
density of states at the Fermi level	5.1	states/eV/f.u.
total moment	0.002	μB/f.u.
space-group type	No. 216
density	10.0	g cm⁻³
ΔE_f	-0.224	eV/atom

Lattice parameters (Å, degrees): 5.0410 5.0410 5.0410 60.00 60.00 60.00
Positions (direct):
Os: 0.7500 0.7500 0.7500
Pm: 0.0000 0.0000 0.0000
Ge: 0.2500 0.2500 0.2500
Ce: 0.5000 0.5000 0.5000


Repeat the first record exactly.
VASP calculation (PBE) on a relaxed CePmGeOs crystal.

Computed properties:
density of states at the Fermi level	3.1	states/eV/f.u.
total moment	0.000	μB/f.u.
space-group type	No. 38
density	9.7	g cm⁻³
ΔE_f	-0.515	eV/atom

Lattice parameters (Å, degrees): 4.1417 3.9219 6.1397 90.00 109.71 90.00
Positions (direct):
Ge: 0.4327 0.0000 0.8654
Os: 0.5855 0.5000 0.1710
Ce: 0.1287 0.0000 0.2574
Pm: 0.8531 0.5000 0.7062


What is the formula in the second record? CePmGeOs